# 1
# AlH3O3 | Alexandria via LeMat-Bulk | GGA-PBE | optimized geometry
# Excess energy over the best structure of this formula in the dataset, meV per atom: 5
data_AlH3O3
_cell_length_a 5.0129
_cell_length_b 6.6816
_cell_length_c 6.7307
_cell_angle_alpha 83.38
_cell_angle_beta 76.83
_cell_angle_gamma 76.13
_symmetry_space_group_name_H-M 'P 1'
_symmetry_Int_Tables_number 1
loop_
_symmetry_equiv_pos_as_xyz
'x,y,z'
loop_
_atom_site_label
_atom_site_type_symbol
_atom_site_fract_x
_atom_site_fract_y
_atom_site_fract_z
_atom_site_occupancy
Al1 Al 0.0000 0.0000 0.0000 1
Al2 Al 0.0975 0.6684 0.3188 1
Al3 Al 0.4971 0.1757 0.8203 1
Al4 Al 0.5995 0.4959 0.4905 1
H1 H 0.1555 0.4944 0.7110 1
H2 H 0.2878 0.1432 0.1985 1
H3 H 0.2880 0.6386 0.9394 1
H4 H 0.2893 0.9487 0.6382 1
H5 H 0.4835 0.3695 0.2108 1
H6 H 0.4909 0.8423 0.3506 1
H7 H 0.6165 0.8234 0.9704 1
H8 H 0.7943 0.3806 0.9244 1
H9 H 0.8041 0.7276 0.6801 1
H10 H 0.8053 0.0355 0.3792 1
H11 H 0.9473 0.1821 0.5966 1
H12 H 0.9675 0.3958 0.1801 1
O1 O 0.2241 0.1625 0.0703 1
O2 O 0.2318 0.0600 0.7355 1
O3 O 0.2543 0.7429 0.0415 1
O4 O 0.3436 0.4594 0.7466 1
O5 O 0.3559 0.7689 0.4421 1
O6 O 0.3647 0.4144 0.3434 1
O7 O 0.7240 0.2568 0.9747 1
O8 O 0.7381 0.9085 0.8812 1
O9 O 0.7572 0.2122 0.5655 1
O10 O 0.8432 0.9299 0.2773 1
O11 O 0.8584 0.5242 0.2432 1
O12 O 0.8647 0.6117 0.5885 1

***

# 2
# Zn2PSe | Alexandria via LeMat-Bulk | GGA-PBE | optimized geometry
# Formation energy without anion corrections, eV/atom: 0.3505
data_Zn2PSe
_cell_length_a 4.5978
_cell_length_b 4.5978
_cell_length_c 4.5978
_cell_angle_alpha 60.00
_cell_angle_beta 60.00
_cell_angle_gamma 60.00
_symmetry_space_group_name_H-M 'P 1'
_symmetry_Int_Tables_number 1
loop_
_symmetry_equiv_pos_as_xyz
'x,y,z'
loop_
_atom_site_label
_atom_site_type_symbol
_atom_site_fract_x
_atom_site_fract_y
_atom_site_fract_z
_atom_site_occupancy
Zn1 Zn 0.2500 0.2500 0.2500 1
Zn2 Zn 0.7500 0.7500 0.7500 1
P1 P 0.0000 0.0000 0.0000 1
Se1 Se 0.5000 0.5000 0.5000 1

***

# 3
# Ho3AlIn | Alexandria via LeMat-Bulk | GGA-PBE | optimized geometry
# Excess energy over the best structure of this formula in the dataset, meV per atom: 0
# ΔH_f (0 K), eV/atom: -0.33
data_Ho3AlIn
_cell_length_a 11.2147
_cell_length_b 11.2147
_cell_length_c 4.8944
_cell_angle_alpha 90.00
_cell_angle_beta 90.00
_cell_angle_gamma 154.80
_symmetry_space_group_name_H-M 'P 1'
_symmetry_Int_Tables_number 1
loop_
_symmetry_equiv_pos_as_xyz
'x,y,z'
loop_
_atom_site_label
_atom_site_type_symbol
_atom_site_fract_x
_atom_site_fract_y
_atom_site_fract_z
_atom_site_occupancy
Ho1 Ho 0.0599 0.9401 0.7500 1
Ho2 Ho 0.2500 0.7500 0.7500 1
Ho3 Ho 0.4399 0.5601 0.7500 1
Ho4 Ho 0.5601 0.4399 0.2500 1
Ho5 Ho 0.7500 0.2500 0.2500 1
Ho6 Ho 0.9401 0.0599 0.2500 1
Al1 Al 0.1548 0.8452 0.2500 1
Al2 Al 0.8452 0.1548 0.7500 1
In1 In 0.3452 0.6548 0.2500 1
In2 In 0.6548 0.3452 0.7500 1

***

# 4
# CdInFe2 | Alexandria via LeMat-Bulk | GGA-PBE | optimized geometry
# ΔH_f (0 K), eV/atom: 0.34
data_CdInFe2
_cell_length_a 2.8692
_cell_length_b 4.0224
_cell_length_c 5.7026
_cell_angle_alpha 90.00
_cell_angle_beta 90.56
_cell_angle_gamma 90.00
_symmetry_space_group_name_H-M 'P 1'
_symmetry_Int_Tables_number 1
loop_
_symmetry_equiv_pos_as_xyz
'x,y,z'
loop_
_atom_site_label
_atom_site_type_symbol
_atom_site_fract_x
_atom_site_fract_y
_atom_site_fract_z
_atom_site_occupancy
Cd1 Cd 0.0000 0.0000 0.0000 1
In1 In 0.0000 0.0000 0.5000 1
Fe1 Fe 0.5000 0.5000 0.2566 1
Fe2 Fe 0.5000 0.5000 0.7434 1

***

# 5
# LiScFe2 | Alexandria via LeMat-Bulk | GGA-PBE | optimized geometry
# ΔH_f (0 K), eV/atom: 0.27
data_LiScFe2
_cell_length_a 2.7333
_cell_length_b 4.1622
_cell_length_c 5.1640
_cell_angle_alpha 90.00
_cell_angle_beta 103.55
_cell_angle_gamma 90.00
_symmetry_space_group_name_H-M 'P 1'
_symmetry_Int_Tables_number 1
loop_
_symmetry_equiv_pos_as_xyz
'x,y,z'
loop_
_atom_site_label
_atom_site_type_symbol
_atom_site_fract_x
_atom_site_fract_y
_atom_site_fract_z
_atom_site_occupancy
Li1 Li 0.0000 0.0000 0.0000 1
Sc1 Sc 0.0000 0.0000 0.5000 1
Fe1 Fe 0.4345 0.5000 0.2382 1
Fe2 Fe 0.5655 0.5000 0.7618 1

***

# 6
# Dy2CdSi4Pt3 | Alexandria via LeMat-Bulk | GGA-PBE | optimized geometry
# Formation energy without anion corrections, eV/atom: -0.8909
data_Dy2CdSi4Pt3
_cell_length_a 4.1917
_cell_length_b 4.1917
_cell_length_c 10.2536
_cell_angle_alpha 90.00
_cell_angle_beta 90.00
_cell_angle_gamma 90.00
_symmetry_space_group_name_H-M 'P 1'
_symmetry_Int_Tables_number 1
loop_
_symmetry_equiv_pos_as_xyz
'x,y,z'
loop_
_atom_site_label
_atom_site_type_symbol
_atom_site_fract_x
_atom_site_fract_y
_atom_site_fract_z
_atom_site_occupancy
Dy1 Dy 0.0000 0.5000 0.2422 1
Dy2 Dy 0.5000 0.0000 0.7578 1
Cd1 Cd 0.0000 0.0000 0.5000 1
Si1 Si 0.0000 0.0000 0.0000 1
Si2 Si 0.0000 0.5000 0.6498 1
Si3 Si 0.5000 0.0000 0.3502 1
Si4 Si 0.5000 0.5000 0.0000 1
Pt1 Pt 0.0000 0.5000 0.8811 1
Pt2 Pt 0.5000 0.0000 0.1189 1
Pt3 Pt 0.5000 0.5000 0.5000 1

***

no.,E (eV/atom),size of the total moment (μB per cell)
1,-5.850,0.000
2,-2.510,0.000
3,-4.374,0.000
4,-4.803,5.073
5,-6.025,3.750
6,-5.884,0.000